# 1
A relaxed NbGaB2Ru crystal. Source: Alexandria via LeMat-Bulk, functional PBE-GGA.

Structure (CIF):
```
data_NbGaB2Ru
_chemical_formula_sum 'Nb1 Ga1 B2 Ru1'
_space_group_name_H-M_alt 'P 4/m m m'
_space_group_IT_number 123
_space_group_name_Hall '-P 4 2'
_cell_length_a 4.0188
_cell_length_b 4.0188
_cell_length_c 5.0351
_cell_angle_alpha 90.00
_cell_angle_beta 90.00
_cell_angle_gamma 90.00
loop_
_atom_site_label
_atom_site_type_symbol
_atom_site_fract_x
_atom_site_fract_y
_atom_site_fract_z
Nb1 Nb 0.0000 0.0000 0.0000
Ga1 Ga 0.5000 0.5000 0.0000
B1 B 0.0000 0.5000 0.5000
Ru1 Ru 0.0000 0.0000 0.5000
```

## Properties
Energy relative to the elements ... 0.81 eV per atom

---

# 2
A relaxed SrGa2Sn2 crystal. Source: Alexandria via LeMat-Bulk, functional PBE-GGA.

Structure (CIF):
```
data_SrGa2Sn2
_chemical_formula_sum 'Sr2 Ga4 Sn4'
_space_group_name_H-M_alt 'I 4/m m m'
_space_group_IT_number 139
_space_group_name_Hall '-I 4 2'
_cell_length_a 5.0623
_cell_length_b 5.0623
_cell_length_c 10.4281
_cell_angle_alpha 90.00
_cell_angle_beta 90.00
_cell_angle_gamma 90.00
loop_
_atom_site_label
_atom_site_type_symbol
_atom_site_fract_x
_atom_site_fract_y
_atom_site_fract_z
Sr1 Sr 0.0000 0.0000 0.0000
Ga1 Ga 0.0000 0.0000 0.3793
Sn1 Sn 0.0000 0.5000 0.2500
```

## Properties
Offset from the most stable computed form ... 0.0000 eV/atom
Energy relative to the elements ... -0.32 eV per atom

---

# 3
A relaxed CsIn3As3 crystal. Source: Alexandria via LeMat-Bulk, functional PBE-GGA.

Structure (CIF):
```
data_CsIn3As3
_chemical_formula_sum 'Cs2 In6 As6'
_space_group_name_H-M_alt 'P m -3 n'
_space_group_IT_number 223
_space_group_name_Hall '-P 4n 2 3'
_cell_length_a 7.7514
_cell_length_b 7.7514
_cell_length_c 7.7514
_cell_angle_alpha 90.00
_cell_angle_beta 90.00
_cell_angle_gamma 90.00
loop_
_atom_site_label
_atom_site_type_symbol
_atom_site_fract_x
_atom_site_fract_y
_atom_site_fract_z
Cs1 Cs 0.0000 0.0000 0.0000
In1 In 0.0000 0.2500 0.5000
As1 As 0.0000 0.5000 0.2500
```

## Properties
Offset from the most stable computed form ... 0.0000 eV/atom
Energy relative to the elements ... -0.26 eV per atom

---

# 4
A relaxed HgMoSe2 crystal. Source: Alexandria via LeMat-Bulk, functional PBE-GGA.

Structure (CIF):
```
data_HgMoSe2
_chemical_formula_sum 'Hg1 Mo1 Se2'
_space_group_name_H-M_alt 'P 1 2/m 1'
_space_group_IT_number 10
_cell_length_a 2.7198
_cell_length_b 3.3604
_cell_length_c 10.4698
_cell_angle_alpha 90.00
_cell_angle_beta 90.63
_cell_angle_gamma 90.00
loop_
_space_group_symop_operation_xyz
'x,y,z'
'-x,-y,-z'
'-x,y,-z'
'x,-y,z'
loop_
_atom_site_label
_atom_site_type_symbol
_atom_site_fract_x
_atom_site_fract_y
_atom_site_fract_z
Hg1 Hg 0.0000 0.0000 0.0000
Mo1 Mo 0.0000 0.0000 0.5000
Se1 Se 0.0095 0.5000 0.6858
```

## Properties
Formation energy from raw total energies ... 17 meV/atom

---

# 5
A relaxed In2GeO crystal. Source: Alexandria via LeMat-Bulk, functional PBE-GGA.

Structure (CIF):
```
data_In2GeO
_chemical_formula_sum 'In8 Ge4 O4'
_space_group_name_H-M_alt 'I -4 2 d'
_space_group_IT_number 122
_space_group_name_Hall 'I -4 2bw'
_cell_length_a 5.5981
_cell_length_b 5.5981
_cell_length_c 11.6148
_cell_angle_alpha 90.00
_cell_angle_beta 90.00
_cell_angle_gamma 90.00
loop_
_atom_site_label
_atom_site_type_symbol
_atom_site_fract_x
_atom_site_fract_y
_atom_site_fract_z
In1 In 0.1945 0.2500 0.1250
Ge1 Ge 0.0000 0.0000 0.5000
O1 O 0.0000 0.0000 0.0000
```

## Properties
Formation energy from raw total energies ... -445 meV/atom
Offset from the most stable computed form ... 0.0000 eV/atom

---

# 6
A relaxed BaBeCl crystal. Source: Alexandria via LeMat-Bulk, functional PBE-GGA.

Structure (CIF):
```
data_BaBeCl
_chemical_formula_sum 'Ba2 Be2 Cl2'
_space_group_name_H-M_alt 'I 4 m m'
_space_group_IT_number 107
_space_group_name_Hall 'I 4 -2'
_cell_length_a 4.6740
_cell_length_b 4.6740
_cell_length_c 8.5704
_cell_angle_alpha 90.00
_cell_angle_beta 90.00
_cell_angle_gamma 90.00
loop_
_atom_site_label
_atom_site_type_symbol
_atom_site_fract_x
_atom_site_fract_y
_atom_site_fract_z
Ba1 Ba 0.0000 0.0000 0.0000
Be1 Be 0.0000 0.0000 0.6278
Cl1 Cl 0.0000 0.0000 0.3947
```

## Properties
Formation energy from raw total energies ... -391 meV/atom
Offset from the most stable computed form ... 0.4930 eV/atom

---

# 7
A relaxed Tb12Ho6Tl crystal. Source: Alexandria via LeMat-Bulk, functional PBE-GGA.

Structure (CIF):
```
data_Tb12Ho6Tl
_chemical_formula_sum 'Tb36 Ho18 Tl3'
_space_group_name_H-M_alt 'R -3'
_space_group_IT_number 148
_space_group_name_Hall '-R 3'
_cell_length_a 11.8291
_cell_length_b 11.8291
_cell_length_c 14.9672
_cell_angle_alpha 90.00
_cell_angle_beta 90.00
_cell_angle_gamma 120.00
loop_
_atom_site_label
_atom_site_type_symbol
_atom_site_fract_x
_atom_site_fract_y
_atom_site_fract_z
Tb1 Tb 0.0033 0.1767 0.3136
Tb2 Tb 0.0451 0.8485 0.9157
Ho1 Ho 0.0194 0.4291 0.1872
Tl1 Tl 0.0000 0.0000 0.5000
```

## Properties
Offset from the most stable computed form ... 0.0955 eV/atom
Energy relative to the elements ... 0.09 eV per atom

---

# 8
A relaxed InPb2Au crystal. Source: Alexandria via LeMat-Bulk, functional PBE-GGA.

Structure (CIF):
```
data_InPb2Au
_chemical_formula_sum 'In2 Pb4 Au2'
_space_group_name_H-M_alt 'I -4 m 2'
_space_group_IT_number 119
_space_group_name_Hall 'I -4 -2'
_cell_length_a 4.5972
_cell_length_b 4.5972
_cell_length_c 10.0705
_cell_angle_alpha 90.00
_cell_angle_beta 90.00
_cell_angle_gamma 90.00
loop_
_atom_site_label
_atom_site_type_symbol
_atom_site_fract_x
_atom_site_fract_y
_atom_site_fract_z
In1 In 0.0000 0.0000 0.0000
Pb1 Pb 0.0000 0.0000 0.5000
Pb2 Pb 0.0000 0.5000 0.7500
Au1 Au 0.0000 0.5000 0.2500
```

## Properties
Energy relative to the elements ... 0.03 eV per atom

---

Question: Which formula does entry 2 have?
Answer: SrGa2Sn2